1.
A geometry-optimized OsAuOF2 structure. Source: the Alexandria database, functional GGA-PBE.

```
data_OsAuOF2
_chemical_formula_sum 'Os1 Au1 O1 F2'
_symmetry_space_group_name_H-M 'P 4/m m m'
_symmetry_Int_Tables_number 123
_symmetry_space_group_name_Hall '-P 4 2'
_cell_length_a 4.407
_cell_length_b 4.407
_cell_length_c 3.681
_cell_angle_alpha 90.00
_cell_angle_beta 90.00
_cell_angle_gamma 90.00
loop_
_atom_site_label
_atom_site_type_symbol
_atom_site_fract_x
_atom_site_fract_y
_atom_site_fract_z
Os1 Os 0.000 0.000 0.000
Au1 Au 0.500 0.500 0.500
O1 O 0.000 0.000 0.500
F1 F 0.000 0.500 0.000
```

Properties
As for the density of states at the Fermi level: 0.514 states/eV/atom. The total energy is -25.1 eV per cell. As for the formation energy (no corrections): -382.2 meV per atom.

=====

2.
A geometry-optimized La6TbGa structure. Source: the Alexandria database, functional GGA-PBE.

```
data_La6TbGa
_chemical_formula_sum 'La12 Tb2 Ga2'
_symmetry_space_group_name_H-M 'C 1 2/m 1'
_symmetry_Int_Tables_number 12
_cell_length_a 7.209
_cell_length_b 12.432
_cell_length_c 7.134
_cell_angle_alpha 90.00
_cell_angle_beta 120.07
_cell_angle_gamma 90.00
loop_
_symmetry_equiv_pos_as_xyz
'x,y,z'
'-x,-y,-z'
'-x,y,-z'
'x,-y,z'
'x+1/2,y+1/2,z'
'-x+1/2,-y+1/2,-z'
'-x+1/2,y+1/2,-z'
'x+1/2,-y+1/2,z'
loop_
_atom_site_label
_atom_site_type_symbol
_atom_site_fract_x
_atom_site_fract_y
_atom_site_fract_z
La1 La 0.027 0.215 0.234
La2 La 0.033 0.500 0.768
Tb1 Tb 0.000 0.000 0.500
Ga1 Ga 0.000 0.000 0.000
```

Properties
As for the density of states at the Fermi level: 1.679 states/eV/atom. As for the formation enthalpy at 0 K: 76 meV per atom. The total energy is -73.2 eV per cell.

=====

3.
A geometry-optimized CaHf2Pd structure. Source: the Alexandria database, functional GGA-PBE.

```
data_CaHf2Pd
_chemical_formula_sum 'Ca4 Hf8 Pd4'
_symmetry_space_group_name_H-M 'F m -3 m'
_symmetry_Int_Tables_number 225
_symmetry_space_group_name_Hall '-F 4 2 3'
_cell_length_a 6.956
_cell_length_b 6.956
_cell_length_c 6.956
_cell_angle_alpha 90.00
_cell_angle_beta 90.00
_cell_angle_gamma 90.00
loop_
_atom_site_label
_atom_site_type_symbol
_atom_site_fract_x
_atom_site_fract_y
_atom_site_fract_z
Ca1 Ca 0.000 0.000 0.000
Hf1 Hf 0.250 0.250 0.250
Pd1 Pd 0.000 0.000 0.500
```

Properties
As for the density of states at the Fermi level: 1.405 states/eV/atom. As for the formation enthalpy at 0 K: 236 meV per atom. The total energy is -104.6 eV per cell.

=====

4.
A geometry-optimized Ba4TlHg2 structure. Source: the Alexandria database, functional GGA-PBE.

```
data_Ba4TlHg2
_chemical_formula_sum 'Ba8 Tl2 Hg4'
_symmetry_space_group_name_H-M 'C 1 2/m 1'
_symmetry_Int_Tables_number 12
_cell_length_a 10.378
_cell_length_b 5.990
_cell_length_c 10.336
_cell_angle_alpha 90.00
_cell_angle_beta 109.61
_cell_angle_gamma 90.00
loop_
_symmetry_equiv_pos_as_xyz
'x,y,z'
'-x,-y,-z'
'-x,y,-z'
'x,-y,z'
'x+1/2,y+1/2,z'
'-x+1/2,-y+1/2,-z'
'-x+1/2,y+1/2,-z'
'x+1/2,-y+1/2,z'
loop_
_atom_site_label
_atom_site_type_symbol
_atom_site_fract_x
_atom_site_fract_y
_atom_site_fract_z
Ba1 Ba 0.123 0.000 0.371
Ba2 Ba 0.126 0.500 0.876
Tl1 Tl 0.000 0.000 0.000
Hg1 Hg 0.250 0.000 0.748
```

Properties
As for the density of states at the Fermi level: 0.984 states/eV/atom. As for the formation enthalpy at 0 K: -398 meV per atom. The total energy is -26.9 eV per cell.

=====

5.
A geometry-optimized Pr7NdHo12 structure. Source: the Alexandria database, functional GGA-PBE.

```
data_Pr7NdHo12
_chemical_formula_sum 'Pr21 Nd3 Ho36'
_symmetry_space_group_name_H-M 'R -3'
_symmetry_Int_Tables_number 148
_symmetry_space_group_name_Hall '-R 3'
_cell_length_a 12.0465
_cell_length_b 12.0465
_cell_length_c 16.2935
_cell_angle_alpha 90.00
_cell_angle_beta 90.00
_cell_angle_gamma 120.00
loop_
_atom_site_label
_atom_site_type_symbol
_atom_site_fract_x
_atom_site_fract_y
_atom_site_fract_z
Pr1 Pr 0.0000 0.0000 0.0000
Pr2 Pr 0.0528 0.8654 0.2893
Nd1 Nd 0.0000 0.0000 0.5000
Ho1 Ho 0.0216 0.5753 0.2214
Ho2 Ho 0.0506 0.4637 0.5831
```

Properties
As for the density of states at the Fermi level: 1.845 states/eV/atom. As for the formation enthalpy at 0 K: 227 meV per atom. The total energy is -265.8 eV per cell.

=====

6.
A geometry-optimized TcOsRh structure. Source: the Alexandria database, functional GGA-PBE.

```
data_TcOsRh
_chemical_formula_sum 'Tc2 Os2 Rh2'
_symmetry_space_group_name_H-M 'I 4 m m'
_symmetry_Int_Tables_number 107
_symmetry_space_group_name_Hall 'I 4 -2'
_cell_length_a 3.260
_cell_length_b 3.260
_cell_length_c 8.296
_cell_angle_alpha 90.00
_cell_angle_beta 90.00
_cell_angle_gamma 90.00
loop_
_atom_site_label
_atom_site_type_symbol
_atom_site_fract_x
_atom_site_fract_y
_atom_site_fract_z
Tc1 Tc 0.000 0.000 0.000
Os1 Os 0.000 0.000 0.342
Rh1 Rh 0.000 0.000 0.671
```

Properties
As for the density of states at the Fermi level: 1.444 states/eV/atom. As for the formation enthalpy at 0 K: 379 meV per atom. The total energy is -55.6 eV per cell.

=====

7.
A geometry-optimized Nd4YCd5 structure. Source: the Alexandria database, functional GGA-PBE.

```
data_Nd4YCd5
_chemical_formula_sum 'Nd4 Y1 Cd5'
_symmetry_space_group_name_H-M 'P 4/m m m'
_symmetry_Int_Tables_number 123
_symmetry_space_group_name_Hall '-P 4 2'
_cell_length_a 3.828
_cell_length_b 3.828
_cell_length_c 19.263
_cell_angle_alpha 90.00
_cell_angle_beta 90.00
_cell_angle_gamma 90.00
loop_
_atom_site_label
_atom_site_type_symbol
_atom_site_fract_x
_atom_site_fract_y
_atom_site_fract_z
Nd1 Nd 0.000 0.000 0.101
Nd2 Nd 0.000 0.000 0.304
Y1 Y 0.000 0.000 0.500
Cd1 Cd 0.500 0.500 0.000
Cd2 Cd 0.500 0.500 0.202
Cd3 Cd 0.500 0.500 0.407
```

Properties
As for the density of states at the Fermi level: 1.173 states/eV/atom. As for the formation enthalpy at 0 K: -322 meV per atom. The total energy is -33.3 eV per cell.

=====

8.
A geometry-optimized Zr2TiNi2 structure. Source: the Alexandria database, functional GGA-PBE.

```
data_Zr2TiNi2
_chemical_formula_sum 'Zr8 Ti4 Ni8'
_symmetry_space_group_name_H-M 'C m c m'
_symmetry_Int_Tables_number 63
_symmetry_space_group_name_Hall '-C 2c 2'
_cell_length_a 5.245
_cell_length_b 14.143
_cell_length_c 4.659
_cell_angle_alpha 90.00
_cell_angle_beta 90.00
_cell_angle_gamma 90.00
loop_
_atom_site_label
_atom_site_type_symbol
_atom_site_fract_x
_atom_site_fract_y
_atom_site_fract_z
Zr1 Zr 0.000 0.079 0.250
Zr2 Zr 0.000 0.288 0.750
Ti1 Ti 0.000 0.500 0.000
Ni1 Ni 0.246 0.129 0.750
```

Properties
As for the density of states at the Fermi level: 1.166 states/eV/atom. As for the formation enthalpy at 0 K: -178 meV per atom. The total energy is -149.8 eV per cell.

=====

9.
A geometry-optimized Mg2MoPt structure. Source: the Alexandria database, functional GGA-PBE.

```
data_Mg2MoPt
_chemical_formula_sum 'Mg8 Mo4 Pt4'
_symmetry_space_group_name_H-M 'I -4 2 d'
_symmetry_Int_Tables_number 122
_symmetry_space_group_name_Hall 'I -4 2bw'
_cell_length_a 7.381
_cell_length_b 7.381
_cell_length_c 5.373
_cell_angle_alpha 90.00
_cell_angle_beta 90.00
_cell_angle_gamma 90.00
loop_
_atom_site_label
_atom_site_type_symbol
_atom_site_fract_x
_atom_site_fract_y
_atom_site_fract_z
Mg1 Mg 0.225 0.250 0.125
Mo1 Mo 0.000 0.000 0.500
Pt1 Pt 0.000 0.000 0.000
```

Properties
As for the density of states at the Fermi level: 1.055 states/eV/atom. As for the formation enthalpy at 0 K: 356 meV per atom. The total energy is -74.5 eV per cell.

=====

10.
A geometry-optimized CeMnN3 structure. Source: the Alexandria database, functional GGA-PBE.

```
data_CeMnN3
_chemical_formula_sum 'Ce2 Mn2 N6'
_symmetry_space_group_name_H-M 'P 4/m b m'
_symmetry_Int_Tables_number 127
_symmetry_space_group_name_Hall '-P 4 2ab'
_cell_length_a 5.217
_cell_length_b 5.217
_cell_length_c 3.961
_cell_angle_alpha 90.00
_cell_angle_beta 90.00
_cell_angle_gamma 90.00
loop_
_atom_site_label
_atom_site_type_symbol
_atom_site_fract_x
_atom_site_fract_y
_atom_site_fract_z
Ce1 Ce 0.000 0.500 0.000
Mn1 Mn 0.000 0.000 0.500
N1 N 0.000 0.000 0.000
N2 N 0.182 0.318 0.500
```

Properties
As for the density of states at the Fermi level: 0.619 states/eV/atom. The total energy is -86.2 eV per cell. As for the formation energy (no corrections): -604.9 meV per atom.